a:
! KRe2Pt | Alexandria | PBE | relaxed; values from VASP
! Crystal system: tetragonal
! Space-group type: P4/mmm
! Calculated volume, Å³ per cell: 73.3
&SYSTEM
  ibrav = 0, nat = 4, ntyp = 3
/
ATOMIC_SPECIES
K 39.10 K.upf
Pt 195.08 Pt.upf
Re 186.21 Re.upf
ATOMIC_POSITIONS angstrom
K -1.773 -2.547 0.648
Pt -5.019 -4.485 4.036
Re -6.207 -3.706 6.480
Re -3.531 -2.108 3.686
CELL_PARAMETERS angstrom
-1.603 -0.809 -1.998
1.302 -2.347 -0.095
-6.492 -3.875 6.777

=====

b:
! KRe2Pt | Alexandria | PBE | relaxed; values from VASP
! Crystal system: tetragonal
! Space-group type: P4/mmm
! Calculated volume, Å³ per cell: 71.3
&SYSTEM
  ibrav = 0, nat = 4, ntyp = 3
/
ATOMIC_SPECIES
K 39.10 K.upf
Pt 195.08 Pt.upf
Re 186.21 Re.upf
ATOMIC_POSITIONS angstrom
K 1.909 0.000 2.448
Pt 0.000 1.909 2.448
Re 0.000 0.000 0.000
Re 1.909 1.909 0.000
CELL_PARAMETERS angstrom
3.817 0.000 0.000
0.000 3.817 0.000
0.000 0.000 4.895

=====

c:
! KRe2Pt | Alexandria | PBE | relaxed; values from VASP
! Crystal system: orthorhombic
! Space-group type: Cmmm
! Calculated volume, Å³ per cell: 72.4
&SYSTEM
  ibrav = 0, nat = 4, ntyp = 3
/
ATOMIC_SPECIES
K 39.10 K.upf
Pt 195.08 Pt.upf
Re 186.21 Re.upf
ATOMIC_POSITIONS angstrom
K 1.024 1.286 2.589
Pt 1.024 1.286 7.767
Re 0.000 0.000 9.941
Re 0.000 0.000 5.593
CELL_PARAMETERS angstrom
2.687 -0.038 0.000
-0.639 2.610 0.000
0.000 0.000 10.356

=====

Stability verdict: c, ahead by 34 meV/atom

=====

a:
! KRe2Pt | Alexandria | PBE | relaxed; values from VASP
! Crystal system: monoclinic
! Space-group type: Cm
! Calculated volume, Å³ per cell: 86.4
&SYSTEM
  ibrav = 0, nat = 4, ntyp = 3
/
ATOMIC_SPECIES
K 39.10 K.upf
Pt 195.08 Pt.upf
Re 186.21 Re.upf
ATOMIC_POSITIONS angstrom
K 4.454 1.403 3.560
Pt 2.253 0.710 1.212
Re 8.726 2.749 7.161
Re 6.584 2.074 6.125
CELL_PARAMETERS angstrom
4.545 0.035 -0.114
3.745 2.576 -0.114
0.517 0.163 7.451

=====

b:
! KRe2Pt | Alexandria | PBE | relaxed; values from VASP
! Crystal system: tetragonal
! Space-group type: P4/mmm
! Calculated volume, Å³ per cell: 88.4
&SYSTEM
  ibrav = 0, nat = 4, ntyp = 3
/
ATOMIC_SPECIES
K 39.10 K.upf
Pt 195.08 Pt.upf
Re 186.21 Re.upf
ATOMIC_POSITIONS angstrom
K 0.037 1.382 2.756
Pt -0.219 5.228 3.681
Re -0.461 6.944 1.671
Re -0.305 4.594 1.105
CELL_PARAMETERS angstrom
-2.187 -0.727 2.418
2.515 -0.355 2.168
-0.511 7.692 1.851

=====

Stability verdict: a, ahead by 442 meV/atom

=====

a:
! KRe2Pt | Alexandria | PBE | relaxed; values from VASP
! Crystal system: orthorhombic
! Space-group type: Pmm2
! Calculated volume, Å³ per cell: 84.1
&SYSTEM
  ibrav = 0, nat = 4, ntyp = 3
/
ATOMIC_SPECIES
K 39.10 K.upf
Pt 195.08 Pt.upf
Re 186.21 Re.upf
ATOMIC_POSITIONS angstrom
K 0.000 0.000 4.091
Pt 1.363 1.930 6.568
Re 0.000 0.000 0.074
Re 1.363 1.930 1.253
CELL_PARAMETERS angstrom
2.727 0.000 0.000
0.000 3.860 0.000
0.000 0.000 7.991

=====

b:
! KRe2Pt | Alexandria | PBE | relaxed; values from VASP
! Crystal system: trigonal
! Space-group type: R-3m
! Calculated volume, Å³ per cell: 71.4
&SYSTEM
  ibrav = 0, nat = 4, ntyp = 3
/
ATOMIC_SPECIES
K 39.10 K.upf
Pt 195.08 Pt.upf
Re 186.21 Re.upf
ATOMIC_POSITIONS angstrom
K -0.686 -7.293 -3.059
Pt -2.059 -21.879 -9.177
Re -0.035 -0.375 -0.157
Re -1.337 -14.212 -5.961
CELL_PARAMETERS angstrom
-2.371 -9.344 -4.657
0.400 -9.471 -4.976
-0.774 -10.356 -2.603

=====

Stability verdict: a, ahead by 210 meV/atom

=====

a:
! KRe2Pt | Alexandria | PBE | relaxed; values from VASP
! Crystal system: cubic
! Space-group type: F-43m
! Calculated volume, Å³ per cell: 68.4
&SYSTEM
  ibrav = 0, nat = 4, ntyp = 3
/
ATOMIC_SPECIES
K 39.10 K.upf
Pt 195.08 Pt.upf
Re 186.21 Re.upf
ATOMIC_POSITIONS angstrom
K 1.504 -1.181 -2.624
Pt -0.597 -2.446 -1.250
Re 0.000 0.000 0.000
Re 2.274 -1.652 0.038
CELL_PARAMETERS angstrom
-1.367 -1.975 -3.912
4.374 -0.387 -1.336
-1.331 -1.735 4.036

=====

b:
! KRe2Pt | Alexandria | PBE | relaxed; values from VASP
! Crystal system: monoclinic
! Space-group type: P2/m
! Calculated volume, Å³ per cell: 72.6
&SYSTEM
  ibrav = 0, nat = 4, ntyp = 3
/
ATOMIC_SPECIES
K 39.10 K.upf
Pt 195.08 Pt.upf
Re 186.21 Re.upf
ATOMIC_POSITIONS angstrom
K -0.420 -2.948 -0.096
Pt 1.605 -4.733 1.051
Re 3.791 -3.422 2.392
Re 2.285 -1.934 1.047
CELL_PARAMETERS angstrom
-2.866 -4.110 -1.338
1.924 -0.805 -1.648
2.127 -2.766 3.941

=====

c:
! KRe2Pt | Alexandria | PBE | relaxed; values from VASP
! Crystal system: tetragonal
! Space-group type: P4mm
! Calculated volume, Å³ per cell: 79.4
&SYSTEM
  ibrav = 0, nat = 4, ntyp = 3
/
ATOMIC_SPECIES
K 39.10 K.upf
Pt 195.08 Pt.upf
Re 186.21 Re.upf
ATOMIC_POSITIONS angstrom
K 1.500 0.674 4.355
Pt 3.011 -0.934 6.832
Re 0.034 0.015 0.098
Re 1.187 -1.753 1.536
CELL_PARAMETERS angstrom
-1.180 -2.596 0.808
2.546 -1.364 -0.665
2.910 1.308 8.452

=====

Stability verdict: c, ahead by 552 meV/atom

=====

a:
! KPtRh2 | Alexandria | PBE | relaxed; values from VASP
! Crystal system: orthorhombic
! Space-group type: Pmm2
! Calculated volume, Å³ per cell: 78.9
&SYSTEM
  ibrav = 0, nat = 4, ntyp = 3
/
ATOMIC_SPECIES
K 39.10 K.upf
Pt 195.08 Pt.upf
Rh 102.91 Rh.upf
ATOMIC_POSITIONS angstrom
K -3.947 0.407 0.607
Pt -6.725 0.750 -1.249
Rh -0.065 0.007 0.010
Rh -1.685 0.230 -2.024
CELL_PARAMETERS angstrom
-0.020 2.247 -1.639
-0.648 -2.067 -2.826
-7.836 0.809 1.206

=====

b:
! KPtRh2 | Alexandria | PBE | relaxed; values from VASP
! Crystal system: tetragonal
! Space-group type: P4/mmm
! Calculated volume, Å³ per cell: 69.4
&SYSTEM
  ibrav = 0, nat = 4, ntyp = 3
/
ATOMIC_SPECIES
K 39.10 K.upf
Pt 195.08 Pt.upf
Rh 102.91 Rh.upf
ATOMIC_POSITIONS angstrom
K -1.466 -2.253 -0.980
Pt 1.797 -2.191 0.392
Rh 0.000 0.000 0.000
Rh 1.037 -2.431 -2.356
CELL_PARAMETERS angstrom
-2.226 -2.493 -3.728
4.300 -2.369 -0.983
-0.705 -2.013 1.767

=====

c:
! KPtRh2 | Alexandria | PBE | relaxed; values from VASP
! Crystal system: cubic
! Space-group type: F-43m
! Calculated volume, Å³ per cell: 71.4
&SYSTEM
  ibrav = 0, nat = 4, ntyp = 3
/
ATOMIC_SPECIES
K 39.10 K.upf
Pt 195.08 Pt.upf
Rh 102.91 Rh.upf
ATOMIC_POSITIONS angstrom
K -0.778 -5.550 -1.057
Pt -1.167 -8.324 -1.586
Rh 0.000 0.000 0.000
Rh -0.389 -2.775 -0.529
CELL_PARAMETERS angstrom
-3.144 -3.259 -1.084
1.184 -3.543 -2.779
0.403 -4.296 1.749

=====

Stability verdict: a, ahead by 360 meV/atom

=====

a:
! KPtRh2 | Alexandria | PBE | relaxed; values from VASP
! Crystal system: tetragonal
! Space-group type: I4/mmm
! Calculated volume, Å³ per cell: 69.4
&SYSTEM
  ibrav = 0, nat = 4, ntyp = 3
/
ATOMIC_SPECIES
K 39.10 K.upf
Pt 195.08 Pt.upf
Rh 102.91 Rh.upf
ATOMIC_POSITIONS angstrom
K -0.876 -2.177 1.659
Pt -2.759 -0.034 0.802
Rh 0.000 0.000 0.000
Rh -2.847 -2.654 -0.376
CELL_PARAMETERS angstrom
-4.730 -0.512 -1.234
-0.964 -4.796 0.481
2.059 3.097 3.214

=====

b:
! KPtRh2 | Alexandria | PBE | relaxed; values from VASP
! Crystal system: tetragonal
! Space-group type: P4/mmm
! Calculated volume, Å³ per cell: 73.7
&SYSTEM
  ibrav = 0, nat = 4, ntyp = 3
/
ATOMIC_SPECIES
K 39.10 K.upf
Pt 195.08 Pt.upf
Rh 102.91 Rh.upf
ATOMIC_POSITIONS angstrom
K 1.431 1.432 2.246
Pt 1.431 1.432 6.738
Rh 0.000 0.000 8.523
Rh 0.000 0.000 4.952
CELL_PARAMETERS angstrom
2.863 0.001 0.000
-0.001 2.863 0.000
0.000 0.000 8.984

=====

c:
! KPtRh2 | Alexandria | PBE | relaxed; values from VASP
! Crystal system: monoclinic
! Space-group type: Pm
! Calculated volume, Å³ per cell: 81.8
&SYSTEM
  ibrav = 0, nat = 4, ntyp = 3
/
ATOMIC_SPECIES
K 39.10 K.upf
Pt 195.08 Pt.upf
Rh 102.91 Rh.upf
ATOMIC_POSITIONS angstrom
K -0.894 -3.924 1.126
Pt -2.398 -6.658 -0.056
Rh 1.227 -1.829 -0.338
Rh -1.110 -1.627 -1.574
CELL_PARAMETERS angstrom
-1.957 -0.623 -3.726
1.695 -2.054 -0.547
-3.638 -5.520 2.834

=====

d:
! KPtRh2 | Alexandria | PBE | relaxed; values from VASP
! Crystal system: tetragonal
! Space-group type: I-4m2
! Calculated volume, Å³ per cell: 69.6
&SYSTEM
  ibrav = 0, nat = 4, ntyp = 3
/
ATOMIC_SPECIES
K 39.10 K.upf
Pt 195.08 Pt.upf
Rh 102.91 Rh.upf
ATOMIC_POSITIONS angstrom
K 3.262 2.374 0.000
Pt 2.495 0.000 1.468
Rh 0.000 0.000 0.000
Rh 0.767 2.374 1.468
CELL_PARAMETERS angstrom
4.990 0.000 0.000
1.534 4.749 0.000
-3.262 -2.374 2.937

=====

Stability verdict: c, ahead by 50 meV/atom

=====

a:
! KPtRh2 | Alexandria | PBE | relaxed; values from VASP
! Crystal system: monoclinic
! Space-group type: P2/m
! Calculated volume, Å³ per cell: 79.0
&SYSTEM
  ibrav = 0, nat = 4, ntyp = 3
/
ATOMIC_SPECIES
K 39.10 K.upf
Pt 195.08 Pt.upf
Rh 102.91 Rh.upf
ATOMIC_POSITIONS angstrom
K 2.310 0.913 1.572
Pt 2.310 2.739 4.716
Rh 0.000 3.439 5.820
Rh 0.000 2.039 3.612
CELL_PARAMETERS angstrom
4.620 0.000 0.000
0.000 2.747 0.049
0.000 0.905 6.238

=====

b:
! KPtRh2 | Alexandria | PBE | relaxed; values from VASP
! Crystal system: monoclinic
! Space-group type: C2/m
! Calculated volume, Å³ per cell: 80.7
&SYSTEM
  ibrav = 0, nat = 4, ntyp = 3
/
ATOMIC_SPECIES
K 39.10 K.upf
Pt 195.08 Pt.upf
Rh 102.91 Rh.upf
ATOMIC_POSITIONS angstrom
K 7.074 2.148 4.746
Pt 2.358 0.716 1.582
Rh 8.642 2.624 0.491
Rh 4.788 1.454 2.621
CELL_PARAMETERS angstrom
4.760 -0.005 -0.026
3.954 2.651 -0.026
0.718 0.218 6.380

=====

c:
! KPtRh2 | Alexandria | PBE | relaxed; values from VASP
! Crystal system: orthorhombic
! Space-group type: Pmmm
! Calculated volume, Å³ per cell: 69.9
&SYSTEM
  ibrav = 0, nat = 4, ntyp = 3
/
ATOMIC_SPECIES
K 39.10 K.upf
Pt 195.08 Pt.upf
Rh 102.91 Rh.upf
ATOMIC_POSITIONS angstrom
K -2.236 0.157 1.764
Pt -0.266 -1.279 3.318
Rh 0.000 0.000 0.000
Rh -0.354 -2.736 0.867
CELL_PARAMETERS angstrom
-2.324 -1.300 -0.687
1.617 -4.171 2.421
-2.149 1.613 4.215

=====

Stability verdict: b, ahead by 90 meV/atom

=====

a:
! KPtRh2 | Alexandria | PBE | relaxed; values from VASP
! Crystal system: orthorhombic
! Space-group type: Pmmm
! Calculated volume, Å³ per cell: 79.5
&SYSTEM
  ibrav = 0, nat = 4, ntyp = 3
/
ATOMIC_SPECIES
K 39.10 K.upf
Pt 195.08 Pt.upf
Rh 102.91 Rh.upf
ATOMIC_POSITIONS angstrom
K 0.263 -3.022 -0.282
Pt -2.146 -5.381 0.739
Rh -4.455 -4.364 1.888
Rh -2.772 -2.715 1.175
CELL_PARAMETERS angstrom
-0.101 -0.987 -2.520
3.037 -2.696 0.934
-4.818 -4.720 2.042

=====

b:
! KPtRh2 | Alexandria | PBE | relaxed; values from VASP
! Crystal system: orthorhombic
! Space-group type: Immm
! Calculated volume, Å³ per cell: 73.5
&SYSTEM
  ibrav = 0, nat = 4, ntyp = 3
/
ATOMIC_SPECIES
K 39.10 K.upf
Pt 195.08 Pt.upf
Rh 102.91 Rh.upf
ATOMIC_POSITIONS angstrom
K -2.003 2.542 -1.715
Pt -2.909 0.036 -0.591
Rh -0.263 0.000 -0.213
Rh -3.831 -0.006 -3.099
CELL_PARAMETERS angstrom
-3.189 2.499 -4.436
-4.999 -2.513 -2.187
3.276 2.592 4.318

=====

c:
! KPtRh2 | Alexandria | PBE | relaxed; values from VASP
! Crystal system: tetragonal
! Space-group type: P4/mmm
! Calculated volume, Å³ per cell: 69.6
&SYSTEM
  ibrav = 0, nat = 4, ntyp = 3
/
ATOMIC_SPECIES
K 39.10 K.upf
Pt 195.08 Pt.upf
Rh 102.91 Rh.upf
ATOMIC_POSITIONS angstrom
K -2.520 -0.850 1.175
Pt -0.112 -0.760 2.804
Rh 0.000 0.000 0.000
Rh -0.395 -2.786 0.738
CELL_PARAMETERS angstrom
-2.237 1.176 3.242
-2.803 -2.876 -0.891
2.013 -2.696 2.367

=====

d:
! KPtRh2 | Alexandria | PBE | relaxed; values from VASP
! Crystal system: tetragonal
! Space-group type: P4mm
! Calculated volume, Å³ per cell: 72.3
&SYSTEM
  ibrav = 0, nat = 4, ntyp = 3
/
ATOMIC_SPECIES
K 39.10 K.upf
Pt 195.08 Pt.upf
Rh 102.91 Rh.upf
ATOMIC_POSITIONS angstrom
K 0.488 -2.115 3.962
Pt -0.889 -2.477 6.973
Rh 0.007 -0.028 0.053
Rh -1.472 0.053 2.233
CELL_PARAMETERS angstrom
-0.572 2.416 1.360
-2.756 -0.649 -0.007
0.974 -4.223 7.912

=====

Stability verdict: d, ahead by 136 meV/atom

=====

a:
! KPtRh2 | Alexandria | PBE | relaxed; values from VASP
! Crystal system: trigonal
! Space-group type: R-3m
! Calculated volume, Å³ per cell: 69.6
&SYSTEM
  ibrav = 0, nat = 4, ntyp = 3
/
ATOMIC_SPECIES
K 39.10 K.upf
Pt 195.08 Pt.upf
Rh 102.91 Rh.upf
ATOMIC_POSITIONS angstrom
K 7.431 1.042 0.609
Pt 22.294 3.125 1.828
Rh 0.304 0.043 0.025
Rh 14.559 2.041 1.194
CELL_PARAMETERS angstrom
10.170 -0.003 -0.002
9.778 2.799 -0.002
9.778 1.370 2.440

=====

b:
! KPtRh2 | Alexandria | PBE | relaxed; values from VASP
! Crystal system: tetragonal
! Space-group type: I-42d
! Calculated volume, Å³ per cell: 194.5
&SYSTEM
  ibrav = 0, nat = 8, ntyp = 3
/
ATOMIC_SPECIES
K 39.10 K.upf
Rh 102.91 Rh.upf
Pt 195.08 Pt.upf
ATOMIC_POSITIONS angstrom
K 2.325 2.325 0.000
K 2.325 4.649 4.499
Rh 4.208 1.162 2.249
Rh 5.090 3.487 2.249
Rh 3.487 2.765 6.748
Rh 5.811 1.884 6.748
Pt 0.000 0.000 0.000
Pt 4.649 2.325 4.499
CELL_PARAMETERS angstrom
4.649 0.000 0.000
0.000 4.649 0.000
2.325 2.325 8.997

=====

c:
! KPtRh2 | Alexandria | PBE | relaxed; values from VASP
! Crystal system: cubic
! Space-group type: Fm-3m
! Calculated volume, Å³ per cell: 70.6
&SYSTEM
  ibrav = 0, nat = 4, ntyp = 3
/
ATOMIC_SPECIES
K 39.10 K.upf
Rh 102.91 Rh.upf
Pt 195.08 Pt.upf
ATOMIC_POSITIONS angstrom
K 0.000 0.000 0.000
Rh 1.854 0.406 2.114
Rh 5.561 1.219 6.343
Pt 3.707 0.812 4.229
CELL_PARAMETERS angstrom
4.481 -0.156 1.192
1.715 3.106 2.990
1.218 -1.324 4.276

=====

Stability verdict: a, ahead by 184 meV/atom

=====

a:
! KPtRh2 | Alexandria | PBE | relaxed; values from VASP
! Crystal system: orthorhombic
! Space-group type: Cmmm
! Calculated volume, Å³ per cell: 67.9
&SYSTEM
  ibrav = 0, nat = 4, ntyp = 3
/
ATOMIC_SPECIES
K 39.10 K.upf
Pt 195.08 Pt.upf
Rh 102.91 Rh.upf
ATOMIC_POSITIONS angstrom
K -1.051 1.979 1.891
Pt -1.180 -2.299 1.384
Rh 0.000 0.000 0.000
Rh -2.833 0.009 0.651
CELL_PARAMETERS angstrom
-2.703 4.286 1.157
-2.962 -4.269 0.144
0.602 -0.329 2.624

=====

b:
! KPtRh2 | Alexandria | PBE | relaxed; values from VASP
! Crystal system: orthorhombic
! Space-group type: Imm2
! Calculated volume, Å³ per cell: 72.6
&SYSTEM
  ibrav = 0, nat = 4, ntyp = 3
/
ATOMIC_SPECIES
K 39.10 K.upf
Pt 195.08 Pt.upf
Rh 102.91 Rh.upf
ATOMIC_POSITIONS angstrom
K -3.568 -3.250 -2.032
Pt -1.383 -2.282 0.172
Rh -7.073 -6.441 -4.028
Rh -3.831 -0.630 0.134
CELL_PARAMETERS angstrom
-5.553 -1.176 -1.807
-1.553 -5.296 -2.240
1.910 3.577 4.363

=====

Stability verdict: b, ahead by 68 meV/atom